No. 1
VASP calculation (PBE) on an optimized crystal structure of Sm2Tm6Zr.

It has space group C2/c (No. 15), with a = 16.291 Å, b = 11.479 Å, c = 5.847 Å, α = 90.00°, β = 98.11° and γ = 90.00°. The asymmetric unit holds Sm at (0.174, 0.103, 0.065), Tm at (0.052, 0.136, 0.516), Tm at (0.103, 0.389, 0.810), Tm at (0.202, 0.356, 0.359) and Zr at (0.000, 0.373, 0.250).

The energy above the most stable polymorph in this dataset comes out at 7 meV per atom. Its energy of formation is 0.12 eV per atom. The calculation puts the density of states at the Fermi level at 13.190 states/eV/f.u. The calculation puts the total energy at -4.863 eV/atom. The total magnetic moment is 0.000 μB/atom.

---

No. 2
VASP calculation (PBE) on an optimized crystal structure of SmTm2Zr.

It has space group P4/mmm (No. 123), with a = 3.972 Å, b = 3.972 Å, c = 7.376 Å, α = 90.00°, β = 90.00° and γ = 90.00°. The asymmetric unit holds Sm at (0.000, 0.000, 0.000), Tm at (0.500, 0.500, 0.279) and Zr at (0.000, 0.000, 0.500).

The energy above the most stable polymorph in this dataset comes out at 92 meV per atom. Its energy of formation is 0.16 eV per atom. The calculation puts the density of states at the Fermi level at 8.305 states/eV/f.u. The calculation puts the total energy at -5.392 eV/atom. The total magnetic moment is 0.000 μB/atom.

---

No. 3
VASP calculation (PBE) on an optimized crystal structure of SmTm2Zr.

It has space group R-3m (No. 166, hexagonal axes), with a = 3.3424 Å, b = 3.3424 Å, c = 35.9335 Å, α = 90.00°, β = 90.00° and γ = 120.00°. The asymmetric unit holds Sm at (0.0000, 0.0000, 0.0000), Tm at (0.0000, 0.0000, 0.4140) and Zr at (0.0000, 0.0000, 0.5000).

The energy above the most stable polymorph in this dataset comes out at 236 meV per atom. Its energy of formation is 0.30 eV per atom. The calculation puts the density of states at the Fermi level at 5.877 states/eV/f.u. The calculation puts the total energy at -5.248 eV/atom. The total magnetic moment is 0.000 μB/atom.

---

No. 4
VASP calculation (PBE) on an optimized crystal structure of Sm2Tm4Zr.

It has space group R3m (No. 160, hexagonal axes), with a = 3.5236 Å, b = 3.5236 Å, c = 58.6031 Å, α = 90.00°, β = 90.00° and γ = 120.00°. The asymmetric unit holds Sm at (0.0000, 0.0000, 0.0000), Sm at (0.0000, 0.0000, 0.0983), Tm at (0.0000, 0.0000, 0.2844), Tm at (0.0000, 0.0000, 0.3831), Tm at (0.0000, 0.0000, 0.8154), Tm at (0.0000, 0.0000, 0.9027) and Zr at (0.0000, 0.0000, 0.1923).

Its energy of formation is 0.03 eV per atom. The calculation puts the density of states at the Fermi level at 10.862 states/eV/f.u. The calculation puts the total energy at -5.091 eV/atom. The total magnetic moment is 0.001 μB/atom.

---

Copy entry 2 word for word.
VASP calculation (PBE) on an optimized crystal structure of SmTm2Zr.

It has space group P4/mmm (No. 123), with a = 3.972 Å, b = 3.972 Å, c = 7.376 Å, α = 90.00°, β = 90.00° and γ = 90.00°. The asymmetric unit holds Sm at (0.000, 0.000, 0.000), Tm at (0.500, 0.500, 0.279) and Zr at (0.000, 0.000, 0.500).

The energy above the most stable polymorph in this dataset comes out at 92 meV per atom. Its energy of formation is 0.16 eV per atom. The calculation puts the density of states at the Fermi level at 8.305 states/eV/f.u. The calculation puts the total energy at -5.392 eV/atom. The total magnetic moment is 0.000 μB/atom.